Here is a relaxed structure of Pm4Al3Ag from Alexandria. Energies are from PBE.

Computed properties:
Polymorph energy (0 for the lowest one) ... 0.000 eV per atom
Final energy ... -4.479 eV/atom
Formation enthalpy at 0 K ... -343 meV per atom

```
8
Lattice="3.653 0.000 0.000 0.000 3.653 0.000 0.000 0.000 15.284" Properties=species:S:1:pos:R:3 pbc="T T T"
Pm 0.000 0.000 1.884
Pm 0.000 0.000 5.662
Pm 0.000 0.000 9.622
Pm 0.000 0.000 13.400
Al 1.827 1.827 0.000
Al 1.827 1.827 3.810
Al 1.827 1.827 11.474
Ag 1.827 1.827 7.642
```